First-principles (PBE-GGA) data for crystalline Dy2TmAl at its relaxed geometry, as listed in the Alexandria database.

Output
Size of the total moment = 0.00 μB/cell
ΔE to the lowest computed polymorph = 7 meV/atom
Calculated formation energy = -192 meV/atom

```
data_Dy2TmAl
_cell_length_a 4.742
_cell_length_b 4.742
_cell_length_c 4.723
_cell_angle_alpha 90.00
_cell_angle_beta 90.00
_cell_angle_gamma 90.00
_space_group_name_H-M_alt 'P 4/m m m'
_space_group_IT_number 123
_space_group_name_Hall '-P 4 2'
loop_
_atom_site_label
_atom_site_fract_x
_atom_site_fract_y
_atom_site_fract_z
Dy1 0.000 0.500 0.000
Tm1 0.000 0.000 0.500
Al1 0.500 0.500 0.500
```